Entry from Alexandria via LeMat-Bulk: a relaxed KCdOs3 crystal (PBE).

## Properties
Formation enthalpy at 0 K: 3.6532 eV per atom
Fermi-level density of states: 7.5 states/eV/f.u.
Offset from the most stable computed form: 3.857 eV/f.u.

Unit cell a=4.6468 b=4.6468 c=4.6468 alpha=90.00 beta=90.00 gamma=90.00
Space group Pm-3m (No. 221)
Inequivalent atoms, fractional coordinates:
1 K 0.0000 0.0000 0.0000 x1
2 Cd 0.5000 0.5000 0.5000 x1
3 Os 0.0000 0.0000 0.5000 x3